The following is a DFT calculation (PBE-GGA) of a relaxed structure of Nd3Ga4Au4.

extended XYZ file:
```
11
Lattice="-1.948 -2.263 -3.316 2.587 -2.883 0.448 -8.849 -3.645 10.686" Properties=species:S:1:pos:R:3 pbc="T T T"
Nd -4.758 -5.853 6.788
Nd -3.452 -2.938 1.030
Nd 0.000 0.000 0.000
Ga -4.343 -3.166 4.711
Ga -0.346 -2.637 2.003
Ga -7.863 -6.154 5.815
Ga -3.867 -5.625 3.107
Au -6.283 -5.002 4.101
Au -7.680 -5.599 8.330
Au -0.530 -3.192 -0.513
Au -1.926 -3.789 3.717
```

* ΔE to the lowest computed polymorph: 0.00 kcal/mol of atoms
* E_tot: -47.15 eV per formula unit
* DFT formation energy: -694 meV per atom

---

The following is a DFT calculation (PBE-GGA) of a relaxed structure of CoReTc2H.

extended XYZ file:
```
5
Lattice="-0.490 -3.033 -2.304 3.800 -0.546 -0.089 -0.259 -2.309 3.095" Properties=species:S:1:pos:R:3 pbc="T T T"
Re -0.129 -1.155 1.547
Co 1.526 -2.944 0.351
Tc 1.900 -0.273 -0.045
Tc -0.245 -1.516 -1.152
H 0.000 0.000 0.000
```

* ΔE to the lowest computed polymorph: 2.34 kcal/mol of atoms
* E_tot: -42.98 eV per formula unit

---

The following is a DFT calculation (PBE-GGA) of a relaxed structure of CsTlBr3.

extended XYZ file:
```
10
Lattice="5.256 0.104 -0.127 0.413 9.742 0.576 0.096 3.026 8.889" Properties=species:S:1:pos:R:3 pbc="T T T"
Cs 5.081 3.966 5.073
Cs 3.052 8.098 1.893
Tl 5.425 9.164 6.699
Tl 3.689 2.799 0.539
Br 2.584 6.423 7.172
Br 5.099 4.950 1.252
Br 2.652 2.037 2.832
Br 2.689 11.093 6.977
Br 5.294 3.732 8.736
Br 0.532 7.314 4.273
```

* E_form (uncorrected): -1.09 eV/atom
* E_tot: -13.67 eV per formula unit

---

Which value of E_tot does entry 3 give? -13.67 eV per formula unit

---

Which value of E_tot does entry 2 give? -42.98 eV per formula unit

---

Among the records above, which one has the lowest E_tot? Nd3Ga4Au4